[1]
{"formula": "AcHoEr2As4", "functional": "PBE", "state": "relaxed", "ef_ev_per_atom": -1.458, "sg": "No. 10", "lattice": [[-0.405, 3.189, 2.724], [-7.168, 0.229, -1.334], [-3.473, -4.417, 4.656]], "species": ["Ac", "As", "Ho", "As", "As", "As", "Er", "Er"], "fractional_positions": [[0.500, 0.500, 0.000], [0.000, 0.768, 0.733], [0.000, 0.500, 0.500], [0.000, 0.232, 0.267], [0.500, 0.241, 0.742], [0.500, 0.759, 0.258], [0.500, 0.000, 0.500], [0.000, 0.000, 0.000]]}

---

[2]
{"formula": "Ac2HoErAs4", "functional": "PBE", "state": "relaxed", "ef_ev_per_atom": -1.462, "sg": "No. 10", "lattice": [[-3.505, -2.509, 0.360], [1.197, -2.660, -6.895], [4.379, -6.061, 0.391]], "species": ["Er", "As", "Ac", "As", "As", "Ac", "As", "Ho"], "fractional_positions": [[0.000, 0.500, 0.500], [0.500, 0.275, 0.741], [0.500, 0.000, 0.500], [0.500, 0.725, 0.259], [0.000, 0.275, 0.242], [0.000, 0.000, 0.000], [0.000, 0.725, 0.758], [0.500, 0.500, 0.000]]}

---

[3]
{"formula": "AcHo2ErAs4", "functional": "PBE", "state": "relaxed", "ef_ev_per_atom": -1.459, "sg": "No. 10", "lattice": [[-2.005, -3.139, -1.980], [5.136, -0.005, -5.194], [5.347, -4.605, 1.883]], "species": ["As", "As", "Er", "As", "As", "Ho", "Ac", "Ho"], "fractional_positions": [[0.500, 0.757, 0.259], [0.500, 0.243, 0.741], [0.000, 0.500, 0.500], [0.000, 0.234, 0.267], [0.000, 0.766, 0.733], [0.000, 0.000, 0.000], [0.500, 0.500, 0.000], [0.500, 0.000, 0.500]]}

---

[4]
{"formula": "AcLaEr2As4", "functional": "PBE", "state": "relaxed", "ef_ev_per_atom": -1.491, "sg": "No. 10", "lattice": [[-1.223, -1.973, -3.594], [-4.973, -3.910, 3.838], [-6.431, 3.673, 0.171]], "species": ["La", "Ac", "Er", "As", "Er", "As", "As", "As"], "fractional_positions": [[0.000, 0.500, 0.500], [0.500, 0.500, 0.000], [0.000, 0.000, 0.000], [0.500, 0.769, 0.248], [0.500, 0.000, 0.500], [0.000, 0.772, 0.738], [0.000, 0.228, 0.262], [0.500, 0.231, 0.752]]}

---

[5]
{"formula": "Ac2NdErAs4", "functional": "PBE", "state": "relaxed", "ef_ev_per_atom": -1.463, "sg": "No. 10", "lattice": [[-3.965, -0.921, 1.584], [3.154, -4.178, 5.465], [1.390, 4.362, 6.014]], "species": ["Ac", "As", "As", "As", "As", "Ac", "Er", "Nd"], "fractional_positions": [[0.000, 0.000, 0.000], [0.000, 0.732, 0.751], [0.000, 0.268, 0.249], [0.500, 0.271, 0.738], [0.500, 0.729, 0.262], [0.500, 0.000, 0.500], [0.000, 0.500, 0.500], [0.500, 0.500, 0.000]]}

---

[6]
{"formula": "AcErAs2O8", "functional": "PBE", "state": "relaxed", "sg": "No. 82", "lattice": [[-1.298, -0.731, 4.963], [0.164, -5.130, -0.713], [6.294, 2.906, -0.630]], "species": ["O", "O", "Er", "As", "As", "O", "O", "O", "O", "O", "Ac", "O"], "fractional_positions": [[0.724, 0.820, 0.143], [0.047, 0.419, 0.338], [0.000, 0.000, 0.000], [0.250, 0.750, 0.500], [0.500, 0.500, 0.000], [0.291, 0.919, 0.338], [0.081, 0.953, 0.662], [0.581, 0.709, 0.662], [0.180, 0.581, 0.857], [0.676, 0.276, 0.857], [0.750, 0.250, 0.500], [0.419, 0.324, 0.143]]}

---

[7]
{"formula": "AcErAsO6", "functional": "PBE", "state": "relaxed", "sg": "No. 149", "lattice": [[-4.998, -1.377, 0.666], [0.908, -4.636, -2.774], [0.690, 0.121, 5.433]], "species": ["Ac", "O", "O", "As", "O", "O", "O", "O", "Er"], "fractional_positions": [[0.000, 0.333, 0.667], [0.705, 0.284, 0.008], [0.295, 0.284, 0.275], [0.500, 0.000, 0.000], [0.295, 0.992, 0.716], [0.295, 0.725, 0.008], [0.705, 0.725, 0.716], [0.705, 0.992, 0.275], [0.500, 0.667, 0.333]]}

---

[8]
{"formula": "Ac2ErAsO8", "functional": "PBE", "state": "relaxed", "sg": "No. 164", "lattice": [[-0.863, -2.759, 4.870], [5.247, 0.528, -2.064], [0.689, 5.247, 3.095]], "species": ["O", "Ac", "O", "Er", "O", "Ac", "O", "O", "O", "O", "O", "As"], "fractional_positions": [[0.849, 0.698, 0.816], [0.667, 0.333, 0.140], [0.302, 0.151, 0.816], [0.000, 0.000, 0.500], [0.849, 0.151, 0.816], [0.333, 0.667, 0.860], [0.698, 0.849, 0.184], [0.151, 0.302, 0.184], [0.151, 0.849, 0.184], [0.333, 0.667, 0.511], [0.667, 0.333, 0.489], [0.000, 0.000, 0.000]]}

---

Number 1: total magnetic moment 0.0 μB per cell, uncorrected energy -6.01 eV/atom. Number 2: total magnetic moment 0.0 μB per cell, uncorrected energy -5.96 eV/atom. Number 3: total magnetic moment 0.0 μB per cell, uncorrected energy -6.01 eV/atom. Number 4: total magnetic moment 0.0 μB per cell, uncorrected energy -6.09 eV/atom. Number 5: total magnetic moment 0.0 μB per cell, uncorrected energy -5.98 eV/atom. Number 6: total magnetic moment 0.0 μB per cell, uncorrected energy -7.13 eV/atom. Number 7: total magnetic moment 1.0 μB per cell, uncorrected energy -7.14 eV/atom. Number 8: total magnetic moment 2.0 μB per cell, uncorrected energy -6.90 eV/atom.